Run one
This record from Alexandria via LeMat-Bulk describes a geometry-optimized Li3BeTc structure. The functional is GGA-PBE.

Calculated values
Symmetry: Pm-3m (221)
Crystal system: cubic

Unit cell a=4.039 b=4.039 c=4.039 alpha=90.00 beta=90.00 gamma=90.00
Fractional positions:
Li 0.000 0.000 0.500
Li 0.500 0.000 0.000
Li 0.000 0.500 0.000
Tc 0.500 0.500 0.500
Be 0.000 0.000 0.000

=====

Run two
This record from Alexandria via LeMat-Bulk describes a geometry-optimized Li3BeTc structure. The functional is GGA-PBE.

Calculated values
Symmetry: Pm-3m (221)
Crystal system: cubic

Unit cell a=4.800 b=4.800 c=4.800 alpha=90.00 beta=90.00 gamma=90.00
Each line ends with the local moment (μB).
Fractional positions:
Li 0.500 0.000 0.000  0.00
Li 0.000 0.500 0.000  0.00
Li 0.000 0.000 0.500  0.00
Be 0.500 0.500 0.500  -0.03
Tc 0.000 0.000 0.000  2.06

=====

Which one sits at the top of the stability order? run one does.

=====

Run one
This record from Alexandria via LeMat-Bulk describes a geometry-optimized LiBeTe structure. The functional is GGA-PBE.

Calculated values
Symmetry: Fmm2 (42)
Crystal system: orthorhombic

Unit cell a=6.431 b=5.347 c=4.561 alpha=80.51 beta=55.10 gamma=44.39
Fractional positions:
Li 0.655 0.655 0.345
Te 0.362 0.362 0.638
Be 0.983 0.983 0.017

=====

Run two
This record from Alexandria via LeMat-Bulk describes a geometry-optimized LiBeTe structure. The functional is GGA-PBE.

Calculated values
Symmetry: I4mm (107)
Crystal system: tetragonal

Unit cell a=5.183 b=5.183 c=5.183 alpha=139.17 beta=139.17 gamma=59.12
Fractional positions:
Li 0.326 0.326 0.000
Be 0.046 0.046 0.000
Te 0.628 0.628 0.000

=====

Which one sits at the top of the stability order? run two does.